# 1
First-principles (PBE-GGA) data for a relaxed NaFe crystal, as listed in the Alexandria database. Values from VASP.

```
&SYSTEM
  ibrav = 0, nat = 16, ntyp = 2
/
ATOMIC_SPECIES
Na 22.99 Na.upf
Fe 55.84 Fe.upf
CELL_PARAMETERS angstrom
12.5140 0.0000 0.0000
0.0000 12.5140 0.0000
0.0000 0.0000 2.7565
ATOMIC_POSITIONS angstrom
Na 5.8456 9.9160 0.0000
Na 6.6685 2.5980 0.0000
Na 2.5980 5.8456 0.0000
Na 9.9160 6.6685 0.0000
Na 12.1026 3.6590 1.3783
Na 0.4115 8.8550 1.3783
Na 8.8550 12.1026 1.3783
Na 3.6590 0.4115 1.3783
Fe 2.2825 2.8628 0.0000
Fe 10.2316 9.6512 0.0000
Fe 9.6512 2.2825 0.0000
Fe 2.8628 10.2316 0.0000
Fe 8.5395 9.1198 1.3783
Fe 3.9745 3.3942 1.3783
Fe 3.3942 8.5395 1.3783
Fe 9.1198 3.9745 1.3783
```

Values from the calculation:
total DFT energy (no corrections): -4.065 eV/atom
E_form: 0.83 eV per atom
ρ: 2.4 g cm⁻³


# 2
First-principles (PBE-GGA) data for a relaxed AcSmSnHg crystal, as listed in the Alexandria database. Values from VASP.

```
&SYSTEM
  ibrav = 0, nat = 4, ntyp = 4
/
ATOMIC_SPECIES
Ac 227.00 Ac.upf
Hg 200.59 Hg.upf
Sm 150.36 Sm.upf
Sn 118.71 Sn.upf
CELL_PARAMETERS angstrom
-0.9107 5.4470 -0.8354
-4.1808 2.5732 2.6638
1.1149 3.6724 4.0580
ATOMIC_POSITIONS angstrom
Ac -1.9883 5.8463 2.9432
Hg -2.9824 8.7694 4.4148
Sm 0.0000 0.0000 0.0000
Sn -0.9941 2.9231 1.4716
```

Values from the calculation:
total DFT energy (no corrections): -3.832 eV/atom
E_form: -0.55 eV per atom
ρ: 9.4 g cm⁻³


# 3
First-principles (PBE-GGA) data for a relaxed Dy2Pa2Se5 crystal, as listed in the Alexandria database. Values from VASP.

```
&SYSTEM
  ibrav = 0, nat = 9, ntyp = 3
/
ATOMIC_SPECIES
Dy 162.50 Dy.upf
Pa 231.04 Pa.upf
Se 78.96 Se.upf
CELL_PARAMETERS angstrom
4.0435 0.0000 0.0000
-2.0218 3.5018 0.0000
0.0000 0.0000 19.3466
ATOMIC_POSITIONS angstrom
Dy 0.0000 2.3345 11.3706
Dy 2.0218 1.1673 7.9761
Pa 0.0000 2.3345 3.5028
Pa 2.0218 1.1673 15.8438
Se 0.0000 0.0000 9.6733
Se 0.0000 2.3345 6.3673
Se 2.0218 1.1673 12.9793
Se 0.0000 2.3345 17.4456
Se 2.0218 1.1673 1.9010
```

Values from the calculation:
total DFT energy (no corrections): -6.305 eV/atom
raw formation energy: -1236 meV/atom
ρ: 7.2 g cm⁻³


# 4
First-principles (PBE-GGA) data for a relaxed BaTl4Sn2 crystal, as listed in the Alexandria database. Values from VASP.

```
&SYSTEM
  ibrav = 0, nat = 7, ntyp = 3
/
ATOMIC_SPECIES
Ba 137.33 Ba.upf
Tl 204.38 Tl.upf
Sn 118.71 Sn.upf
CELL_PARAMETERS angstrom
4.9644 0.0000 0.0000
0.0000 5.0103 0.0000
0.0000 -2.5052 9.6001
ATOMIC_POSITIONS angstrom
Ba 0.0000 0.0000 0.0000
Tl 2.4822 2.5052 6.1084
Tl 0.0000 2.5052 3.5122
Tl 2.4822 0.0000 3.4916
Tl 0.0000 0.0000 6.0879
Sn 2.4822 2.5052 1.4320
Sn 2.4822 0.0000 8.1681
```

Values from the calculation:
total DFT energy (no corrections): -2.947 eV/atom
E_form: -0.18 eV per atom
ρ: 8.3 g cm⁻³


# 5
First-principles (PBE-GGA) data for a relaxed VAsRu crystal, as listed in the Alexandria database. Values from VASP.

```
&SYSTEM
  ibrav = 0, nat = 6, ntyp = 3
/
ATOMIC_SPECIES
Ru 101.07 Ru.upf
As 74.92 As.upf
V 50.94 V.upf
CELL_PARAMETERS angstrom
5.0451 0.0000 -0.0378
0.0000 3.0713 0.0000
-0.5664 0.0000 5.8666
ATOMIC_POSITIONS angstrom
Ru 1.0085 1.5356 1.1661
Ru 3.4701 1.5356 4.6626
As 0.9644 1.5356 4.5685
As 3.5143 1.5356 1.2602
V 2.2393 0.0000 2.9144
V -0.2832 0.0000 2.9333
```

Values from the calculation:
total DFT energy (no corrections): -7.911 eV/atom
E_form: -0.23 eV per atom
ρ: 8.3 g cm⁻³


# 6
First-principles (PBE-GGA) data for a relaxed La3Ho2 crystal, as listed in the Alexandria database. Values from VASP.

```
&SYSTEM
  ibrav = 0, nat = 10, ntyp = 2
/
ATOMIC_SPECIES
Ho 164.93 Ho.upf
La 138.91 La.upf
CELL_PARAMETERS angstrom
6.9107 0.0000 0.0000
3.4554 5.9849 0.0000
3.4554 1.9950 8.8266
ATOMIC_POSITIONS angstrom
Ho 10.3661 5.9849 5.0203
Ho 3.4554 1.9950 0.6070
Ho 3.4554 1.9950 3.8063
Ho 10.3661 5.9849 8.2196
La 6.6412 5.9849 6.6199
La 8.7732 3.2259 6.6199
La 5.3178 2.7590 6.6199
La 5.0483 4.7540 2.2066
La 8.5037 5.2208 2.2066
La 7.1803 1.9950 2.2066
```

Values from the calculation:
total DFT energy (no corrections): -4.535 eV/atom
E_form: 0.25 eV per atom
ρ: 6.8 g cm⁻³


# 7
First-principles (PBE-GGA) data for a relaxed La2Pr3Dy3 crystal, as listed in the Alexandria database. Values from VASP.

```
&SYSTEM
  ibrav = 0, nat = 8, ntyp = 3
/
ATOMIC_SPECIES
La 138.91 La.upf
Pr 140.91 Pr.upf
Dy 162.50 Dy.upf
CELL_PARAMETERS angstrom
-3.8388 2.0589 2.7689
-0.2185 -4.3036 2.8972
8.9244 5.1781 3.7115
ATOMIC_POSITIONS angstrom
La 1.5283 3.0573 4.6566
La 3.3388 -0.1239 4.7211
Pr -0.3372 -0.1275 4.4384
Pr 5.2043 3.0609 4.9393
Pr -1.9194 1.0295 1.3844
Dy 1.6968 0.9979 1.6103
Dy -0.1093 -2.1518 1.4486
Dy 3.1703 1.9355 7.7673
```

Values from the calculation:
total DFT energy (no corrections): -4.731 eV/atom
E_form: 0.02 eV per atom
ρ: 7.1 g cm⁻³


# 8
First-principles (PBE-GGA) data for a relaxed AlGa3Ag6 crystal, as listed in the Alexandria database. Values from VASP.

```
&SYSTEM
  ibrav = 0, nat = 10, ntyp = 3
/
ATOMIC_SPECIES
Al 26.98 Al.upf
Ga 69.72 Ga.upf
Ag 107.87 Ag.upf
CELL_PARAMETERS angstrom
6.7136 0.0022 0.0016
3.2409 6.2358 1.0765
3.2409 3.0985 5.5175
ATOMIC_POSITIONS angstrom
Al 6.5976 4.6683 3.2978
Ga 2.5344 1.0627 0.7507
Ga 10.6608 8.2738 5.8448
Ga 0.0000 0.0000 0.0000
Ag 4.9342 2.6955 3.5650
Ag 8.2611 5.0757 5.2464
Ag 8.2611 6.6410 3.0305
Ag 4.9342 4.2608 1.3491
Ag 5.9720 6.9025 4.8761
Ag 7.2233 2.4340 1.7195
```

Values from the calculation:
total DFT energy (no corrections): -2.829 eV/atom
E_form: 0.16 eV per atom
ρ: 7.0 g cm⁻³


# 9
First-principles (PBE-GGA) data for a relaxed CsTa2Pt crystal, as listed in the Alexandria database. Values from VASP.

```
&SYSTEM
  ibrav = 0, nat = 4, ntyp = 3
/
ATOMIC_SPECIES
Cs 132.91 Cs.upf
Pt 195.08 Pt.upf
Ta 180.95 Ta.upf
CELL_PARAMETERS angstrom
2.4783 0.2011 4.0964
-2.1095 -1.1825 4.1370
1.2396 -4.0445 2.2514
ATOMIC_POSITIONS angstrom
Cs 0.0000 0.0000 0.0000
Pt 0.8042 -2.5129 5.2424
Ta 0.4021 -1.2565 2.6212
Ta 1.2063 -3.7694 7.8637
```

Values from the calculation:
total DFT energy (no corrections): -6.461 eV/atom
E_form: 1.19 eV per atom
ρ: 14.7 g cm⁻³


# 10
First-principles (PBE-GGA) data for a relaxed KSn2Cl6 crystal, as listed in the Alexandria database. Values from VASP.

```
&SYSTEM
  ibrav = 0, nat = 9, ntyp = 3
/
ATOMIC_SPECIES
K 39.10 K.upf
Sn 118.71 Sn.upf
Cl 35.45 Cl.upf
CELL_PARAMETERS angstrom
5.2719 0.0000 0.0000
2.6360 6.6028 -0.3577
2.6360 2.3640 8.8980
ATOMIC_POSITIONS angstrom
K 2.6360 4.4834 4.2702
Sn 5.2720 7.1339 7.3723
Sn 5.2719 1.8329 1.1680
Cl 7.9079 6.8256 7.7257
Cl 2.6360 2.1413 0.8147
Cl 7.9079 5.9999 1.4031
Cl 5.2719 6.2641 5.0154
Cl 2.6360 2.9669 7.1372
Cl 5.2719 2.7028 3.5250
```

Values from the calculation:
total DFT energy (no corrections): -3.415 eV/atom
raw formation energy: -1172 meV/atom
ρ: 2.6 g cm⁻³


# 11
First-principles (PBE-GGA) data for a relaxed CoSi3Sn crystal, as listed in the Alexandria database. Values from VASP.

```
&SYSTEM
  ibrav = 0, nat = 5, ntyp = 3
/
ATOMIC_SPECIES
Si 28.09 Si.upf
Co 58.93 Co.upf
Sn 118.71 Sn.upf
CELL_PARAMETERS angstrom
4.4652 0.0000 0.0000
0.0000 4.4652 0.0000
0.0000 0.0000 4.4652
ATOMIC_POSITIONS angstrom
Si 0.0000 2.2326 0.0000
Si 0.0000 0.0000 2.2326
Si 2.2326 0.0000 0.0000
Co 0.0000 0.0000 0.0000
Sn 2.2326 2.2326 2.2326
```

Values from the calculation:
total DFT energy (no corrections): -5.155 eV/atom
raw formation energy: 321 meV/atom
ρ: 4.9 g cm⁻³


# 12
First-principles (PBE-GGA) data for a relaxed Hf6Al2Cu crystal, as listed in the Alexandria database. Values from VASP.

```
&SYSTEM
  ibrav = 0, nat = 9, ntyp = 3
/
ATOMIC_SPECIES
Hf 178.49 Hf.upf
Al 26.98 Al.upf
Cu 63.55 Cu.upf
CELL_PARAMETERS angstrom
-3.7770 -2.4765 -0.2107
2.4606 -3.3312 -4.9535
3.3351 -1.5628 6.9157
ATOMIC_POSITIONS angstrom
Hf 1.4855 -2.2899 0.2022
Hf -0.7137 -3.3926 4.0594
Hf 0.5332 -5.0807 1.5492
Hf -1.2892 -2.0496 -1.3118
Hf 2.7324 -3.9779 -2.3079
Hf -0.0272 -3.7581 -3.8524
Al 0.2299 -4.3889 -1.1423
Al 1.7888 -2.9817 2.8937
Cu 0.0000 0.0000 0.0000
```

Values from the calculation:
total DFT energy (no corrections): -7.697 eV/atom
E_form: 0.23 eV per atom
ρ: 10.0 g cm⁻³